Arrangement a

DFT (PBE with a Hubbard U) results for an optimized crystal structure of MnHF4.

Geometry as extended XYZ:
```
12
Lattice="-3.849 -0.688 3.929 3.814 -3.951 -1.975 3.962 4.044 3.189" Properties=species:S:1:pos:R:3 pbc="T T T"
F 2.290 -0.455 1.075
F 1.530 2.022 3.274
F 0.405 2.311 6.462
F 1.637 -0.139 4.068
F 2.397 -2.616 1.869
F 4.816 0.470 3.048
F 3.522 -2.905 -1.319
F -0.889 -1.064 2.094
Mn 6.312 -0.298 1.666
Mn -2.385 -0.296 3.477
H 2.299 -1.555 1.425
H 1.628 0.961 3.718
```

Space group ... C2/c (15)
DOS at the Fermi energy ... 0.00 states/eV per cell

---

Arrangement b

DFT (PBE with a Hubbard U) results for an optimized crystal structure of MnHF4.

Geometry as extended XYZ:
```
6
Lattice="5.206 0.000 0.000 0.000 5.206 0.000 -2.603 -2.603 2.500" Properties=species:S:1:pos:R:3 pbc="T T T"
F 3.380 0.952 0.371
F 1.651 0.777 2.128
F 1.826 4.254 0.371
F -1.651 -0.777 2.128
H 2.603 0.000 1.250
Mn 2.603 2.603 0.000
```

Space group ... I-4 (82)
DOS at the Fermi energy ... 0.00 states/eV per cell

---

arrangement a comes first in stability; the runner-up is 0.300 eV/atom higher.